A PBEsol-optimized structure of Li2CdRu. Source: Alexandria via LeMat-Bulk, functional SCAN.

Total magnetization, μB/atom: 0.251
D(E_F), states/eV/cell: 2.22
Theoretical density, g/cm³: 5.88
Energy of formation, eV/f.u.: 0.7
Total DFT energy (no corrections), eV/cell: -69.3
Symmetry: P4mm (99)

a = 2.718 Å, b = 2.718 Å, c = 8.692 Å
α = 90.00°, β = 90.00°, γ = 90.00°
Element x y z (fractional)
Li1 0.000 0.000 0.000
Li2 0.500 0.500 0.285
Cd1 0.500 0.500 0.753
Ru1 0.000 0.000 0.505


A PBEsol-optimized structure of Li2CdRu. Source: Alexandria via LeMat-Bulk, functional SCAN.

Total magnetization, μB/atom: 0.001
D(E_F), states/eV/cell: 1.83
Theoretical density, g/cm³: 6.22
Energy of formation, eV/f.u.: 0.4
Total DFT energy (no corrections), eV/cell: -69.6
Symmetry: Immm (71)

a = 5.352 Å, b = 5.352 Å, c = 5.352 Å
α = 149.59°, β = 127.88°, γ = 61.55°
Element x y z (fractional)
Li1 0.242 0.242 0.000
Li2 0.758 0.758 0.000
Cd1 0.500 0.000 0.500
Ru1 0.000 0.500 0.500


A PBEsol-optimized structure of Li2CdRu. Source: Alexandria via LeMat-Bulk, functional SCAN.

Total magnetization, μB/atom: 0.311
D(E_F), states/eV/cell: 3.32
Theoretical density, g/cm³: 6.11
Energy of formation, eV/f.u.: 1.7
Total DFT energy (no corrections), eV/cell: -136.6
Symmetry: I-42d (122)

a = 5.504 Å, b = 5.504 Å, c = 5.504 Å
α = 103.48°, β = 103.48°, γ = 122.26°
Element x y z (fractional)
Li1 0.116 0.625 0.991
Li2 0.375 0.366 0.491
Li3 0.634 0.125 0.009
Li4 0.875 0.884 0.509
Cd1 0.250 0.750 0.500
Cd2 0.500 0.500 0.000
Ru1 0.000 0.000 0.000
Ru2 0.750 0.250 0.500


A PBEsol-optimized structure of LiCd2Ru. Source: Alexandria via LeMat-Bulk, functional SCAN.

Total magnetization, μB/atom: 0.236
D(E_F), states/eV/cell: 1.76
Theoretical density, g/cm³: 8.28
Energy of formation, eV/f.u.: 0.5
Total DFT energy (no corrections), eV/cell: -97.6
Symmetry: R-3m (166)

a = 9.489 Å, b = 9.489 Å, c = 9.489 Å
α = 17.41°, β = 17.41°, γ = 17.41°
Element x y z (fractional)
Li1 0.000 0.000 0.000
Cd1 0.249 0.249 0.249
Cd2 0.751 0.751 0.751
Ru1 0.500 0.500 0.500


The highest theoretical density belongs to which entry?
LiCd2Ru